# EuYSnAu

Crystalline EuYSnAu at its relaxed geometry (PBE, the Alexandria database).

Cell: 7.5349 7.5349 7.5349 Å, 90.00 90.00 90.00°
With the nearest neighbours (Å) after each atom.
Space group F-43m (No. 216)
One atom of each set of equivalent atoms:
Eu 0.0000 0.0000 0.0000 [4 per cell]  4 Au 3.26, 4 Sn 3.26
Y 0.0000 0.0000 0.5000 [4 per cell]  4 Sn 3.26, 4 Au 3.26
Sn 0.2500 0.2500 0.2500 [4 per cell]  4 Eu 3.26, 4 Y 3.26
Au 0.2500 0.2500 0.7500 [4 per cell]  4 Eu 3.26, 4 Y 3.26

Summary:
Volume   428 Å³ per cell
Final energy   -6.7454 eV per atom
Total magnetization   1.798 μB/atom

***

# CaLaCuRu

Crystalline CaLaCuRu at its relaxed geometry (PBE, the Alexandria database).

Cell: 7.0750 7.0750 7.0750 Å, 90.00 90.00 90.00°
With the nearest neighbours (Å) after each atom.
Space group F-43m (No. 216)
One atom of each set of equivalent atoms:
Ca 0.0000 0.0000 0.0000 [4 per cell]  4 Ru 3.06, 4 Cu 3.06
La 0.0000 0.0000 0.5000 [4 per cell]  4 Ru 3.06, 4 Cu 3.06
Cu 0.2500 0.2500 0.7500 [4 per cell]  4 La 3.06, 4 Ca 3.06
Ru 0.2500 0.2500 0.2500 [4 per cell]  4 La 3.06, 4 Ca 3.06

Summary:
Volume   354 Å³ per cell
Final energy   -5.1006 eV per atom
Total magnetization   0.000 μB/atom

***

# PuCrSi

Crystalline PuCrSi at its relaxed geometry (PBE, the Alexandria database).

Cell: 8.4737 8.7854 3.0159 Å, 90.00 90.00 90.00°
With the nearest neighbours (Å) after each atom.
Space group Cmmm (No. 65)
One atom of each set of equivalent atoms:
Pu 0.0000 0.2311 0.0000 [4 per cell]  3 Cr 2.36-2.53
Cr 0.0000 0.0000 0.5000 [2 per cell]  2 Si 2.35, 4 Pu 2.53
Cr 0.0000 0.5000 0.0000 [2 per cell]  2 Pu 2.36, 4 Si 2.42
Si 0.2232 0.5000 0.5000 [4 per cell]  3 Cr 2.35-2.42

Summary:
Volume   225 Å³ per cell
Final energy   -9.6063 eV per atom
E_form (uncorrected)   0.19 eV per atom
Total magnetization   1.238 μB/atom

***

# La2NdScSb4

Crystalline La2NdScSb4 at its relaxed geometry (PBE, the Alexandria database).

Cell: 7.7655 4.5030 7.7823 Å, 90.00 109.57 90.00°
With the nearest neighbours (Å) after each atom.
Space group P2/m (No. 10)
One atom of each set of equivalent atoms:
La 0.0000 0.0000 0.0000 [1 per cell]  6 Sb 3.20
La 0.0000 0.5000 0.5000 [1 per cell]  6 Sb 3.29-3.30
Nd 0.5000 0.0000 0.5000 [1 per cell]  6 Sb 3.16
Sc 0.5000 0.5000 0.0000 [1 per cell]  6 Sb 3.06
Sb 0.2623 0.5000 0.2438 [2 per cell]  1 Sc 3.06, 2 Nd 3.16, 3 La 3.20-3.29
Sb 0.2700 0.0000 0.7670 [2 per cell]  2 Sc 3.06, 1 Nd 3.16, 3 La 3.20-3.30

Summary:
Volume   256 Å³ per cell
Final energy   -5.8179 eV per atom
E_form (uncorrected)   -1.14 eV per atom
Total magnetization   0.000 μB/atom

***

# KBa2NiH

Crystalline KBa2NiH at its relaxed geometry (PBE, the Alexandria database).

Cell: 6.6493 6.6493 4.7501 Å, 90.00 90.00 90.00°
With the nearest neighbours (Å) after each atom.
Space group P4/mmm (No. 123)
One atom of each set of equivalent atoms:
K 0.0000 0.0000 0.0000 [1 per cell]  2 Ni 2.38
Ba 0.0000 0.5000 0.0000 [2 per cell]  2 K 3.32
Ni 0.0000 0.0000 0.5000 [1 per cell]  2 K 2.38
H 0.5000 0.5000 0.5000 [1 per cell]  8 Ba 4.09

Summary:
Volume   210 Å³ per cell
Final energy   -1.7333 eV per atom
Total magnetization   0.276 μB/atom

***

# CsB3Cl

Crystalline CsB3Cl at its relaxed geometry (PBE, the Alexandria database).

Cell: 4.9929 4.9929 4.9929 Å, 90.00 90.00 90.00°
With the nearest neighbours (Å) after each atom.
Space group Pm-3m (No. 221)
One atom of each set of equivalent atoms:
Cs 0.0000 0.0000 0.0000 [1 per cell]  12 B 3.53
B 0.0000 0.5000 0.5000 [3 per cell]  2 Cl 2.50
Cl 0.5000 0.5000 0.5000 [1 per cell]  6 B 2.50

Summary:
Volume   124 Å³ per cell
Final energy   -2.1611 eV per atom
E_form (uncorrected)   2.39 eV per atom
Total magnetization   0.000 μB/atom
ΔE to the lowest computed polymorph   0.0 meV/atom

***

# CrMoHRu2

Crystalline CrMoHRu2 at its relaxed geometry (PBE, the Alexandria database).

Cell: 3.8599 3.8599 3.9056 Å, 90.00 90.00 90.00°
With the nearest neighbours (Å) after each atom.
Space group P4/mmm (No. 123)
One atom of each set of equivalent atoms:
Cr 0.0000 0.0000 0.0000 [1 per cell]  4 Mo 2.73, 8 Ru 2.75
Mo 0.5000 0.5000 0.0000 [1 per cell]  2 H 1.95
H 0.5000 0.5000 0.5000 [1 per cell]  4 Ru 1.93, 2 Mo 1.95
Ru 0.0000 0.5000 0.5000 [2 per cell]  2 H 1.93

Summary:
Volume   58 Å³ per cell
Final energy   -8.3658 eV per atom
Total magnetization   0.054 μB/atom
ΔE to the lowest computed polymorph   53.1 meV/atom

***

# CuSbRu2

Crystalline CuSbRu2 at its relaxed geometry (PBE, the Alexandria database).

Cell: 6.2612 6.2612 6.2612 Å, 90.00 90.00 90.00°
With the nearest neighbours (Å) after each atom.
Space group F-43m (No. 216)
One atom of each set of equivalent atoms:
Cu 0.0000 0.0000 0.0000 [4 per cell]  4 Sb 2.71, 4 Ru 2.71
Sb 0.2500 0.2500 0.2500 [4 per cell]  4 Ru 2.71, 4 Cu 2.71
Ru 0.0000 0.0000 0.5000 [4 per cell]  4 Ru 2.71, 4 Sb 2.71
Ru 0.2500 0.2500 0.7500 [4 per cell]  4 Ru 2.71, 4 Cu 2.71

Summary:
Volume   245 Å³ per cell
Final energy   -6.3680 eV per atom
E_form (uncorrected)   0.32 eV per atom
Total magnetization   0.140 μB/atom